DFT (GGA-PBE) results for a relaxed structure of RbIn2Bi2Pb.

## Properties
The total magnetization is 0.00 μB per cell. The calculation puts the final energy at -0.1144 hartree per atom. The formation energy is -0.128 eV/atom.

Unit cell a=5.518 b=5.518 c=8.232 alpha=90.00 beta=90.00 gamma=120.00
Sites, in units of the cell vectors:
Rb: 0.000 0.000 0.000
In: 0.667 0.333 0.337
In: 0.333 0.667 0.663
Bi: 0.667 0.333 0.715
Bi: 0.333 0.667 0.285
Pb: 0.000 0.000 0.500

=====

DFT (GGA-PBE) results for a relaxed structure of RbInBiPb.

## Properties
The total magnetization is 0.00 μB per cell. The excess energy over the best structure of this formula in the dataset is 0.070 eV/atom. The calculation puts the final energy at -0.1041 hartree per atom. The formation energy is -0.009 eV/atom.

Unit cell a=5.813 b=5.813 c=5.813 alpha=60.00 beta=60.00 gamma=60.00
Sites, in units of the cell vectors:
Pb: 0.250 0.250 0.250
Bi: 0.000 0.000 0.000
Rb: 0.500 0.500 0.500
In: 0.750 0.750 0.750

=====

DFT (GGA-PBE) results for a relaxed structure of Rb2In3Bi4Pb.

## Properties
The total magnetization is 0.00 μB per cell. The calculation puts the final energy at -0.1142 hartree per atom. The formation energy is -0.169 eV/atom.

Unit cell a=5.265 b=5.265 c=13.747 alpha=90.00 beta=90.00 gamma=90.00
Sites, in units of the cell vectors:
Rb: 0.500 0.000 0.242
Rb: 0.000 0.500 0.758
In: 0.000 0.000 0.500
In: 0.500 0.000 0.868
In: 0.000 0.500 0.132
Bi: 0.500 0.500 0.000
Bi: 0.000 0.000 0.000
Bi: 0.500 0.000 0.642
Bi: 0.000 0.500 0.358
Pb: 0.500 0.500 0.500

=====

Question: What is the final energy in the third record?
Answer: -0.1142 hartree per atom